Entry one
First-principles (PBEsol) data for an optimized crystal structure of LiCaRe, as listed in the Alexandria database.

The structure belongs to space group Imm2 (No. 44); the cell edges are 2.569, 4.553 and 9.185 Å and the angles 90.00°, 90.00° and 90.00°. The distinct sites, in fractional coordinates, are Li at (0.000, 0.000, 0.000), Ca at (0.000, 0.000, 0.313) and Re at (0.000, 0.000, 0.640).

The density of states at the Fermi level is 5.102 states/eV per cell. The calculation puts the total magnetization at 0.000 Bohr magnetons per cell.

***

Entry two
First-principles (PBEsol) data for an optimized crystal structure of LiCaRe, as listed in the Alexandria database.

The structure belongs to space group F-43m (No. 216); the cell edges are 6.585, 6.585 and 6.585 Å and the angles 90.00°, 90.00° and 90.00°. The distinct sites, in fractional coordinates, are Li at (0.000, 0.000, 0.000), Ca at (0.250, 0.250, 0.250) and Re at (0.000, 0.000, 0.500).

The density of states at the Fermi level is 9.597 states/eV per cell. The calculation puts the total magnetization at 9.435 Bohr magnetons per cell.

***

Short version: entry one, entry two, most stable first.

***

Entry one
First-principles (PBEsol) data for an optimized crystal structure of LiCaRe2, as listed in the Alexandria database.

The structure belongs to space group Pm (No. 6); the cell edges are 2.731, 4.323 and 5.986 Å and the angles 90.00°, 98.57° and 90.00°. The distinct sites, in fractional coordinates, are Li at (0.000, 0.000, 0.000), Ca at (0.275, 0.500, 0.718), Re at (0.536, 0.000, 0.401) and Re at (0.790, 0.500, 0.246).

The density of states at the Fermi level is 2.286 states/eV per cell. The calculation puts the total magnetization at 0.000 Bohr magnetons per cell.

***

Entry two
First-principles (PBEsol) data for an optimized crystal structure of LiCaRe2, as listed in the Alexandria database.

The structure belongs to space group P4/mmm (No. 123); the cell edges are 2.602, 2.602 and 9.505 Å and the angles 90.00°, 90.00° and 90.00°. The distinct sites, in fractional coordinates, are Li at (0.000, 0.000, 0.000), Ca at (0.000, 0.000, 0.500) and Re at (0.500, 0.500, 0.233).

The density of states at the Fermi level is 1.602 states/eV per cell. The calculation puts the total magnetization at 0.000 Bohr magnetons per cell.

***

Short version: entry one, entry two, most stable first.

***

Entry one
First-principles (PBEsol) data for an optimized crystal structure of LiCaSc2, as listed in the Alexandria database.

The structure belongs to space group Fm-3m (No. 225); the cell edges are 7.411, 7.411 and 7.411 Å and the angles 90.00°, 90.00° and 90.00°. The distinct sites, in fractional coordinates, are Li at (0.000, 0.000, 0.000), Ca at (0.000, 0.000, 0.500) and Sc at (0.250, 0.250, 0.250).

The density of states at the Fermi level is 21.359 states/eV per cell. The calculation puts the total magnetization at 0.003 Bohr magnetons per cell.

***

Entry two
First-principles (PBEsol) data for an optimized crystal structure of LiCaSc2, as listed in the Alexandria database.

The structure belongs to space group Pmmm (No. 47); the cell edges are 3.565, 5.196 and 5.590 Å and the angles 90.00°, 90.00° and 90.00°. The distinct sites, in fractional coordinates, are Li at (0.000, 0.000, 0.000), Ca at (0.500, 0.500, 0.000), Sc at (0.000, 0.500, 0.500) and Sc at (0.500, 0.000, 0.500).

The density of states at the Fermi level is 5.851 states/eV per cell. The calculation puts the total magnetization at 0.001 Bohr magnetons per cell.

***

Entry three
First-principles (PBEsol) data for an optimized crystal structure of LiCaSc2, as listed in the Alexandria database.

The structure belongs to space group F-43m (No. 216); the cell edges are 7.458, 7.458 and 7.458 Å and the angles 90.00°, 90.00° and 90.00°. The distinct sites, in fractional coordinates, are Li at (0.000, 0.000, 0.000), Ca at (0.250, 0.250, 0.250), Sc at (0.000, 0.000, 0.500) and Sc at (0.250, 0.250, 0.750).

The density of states at the Fermi level is 20.540 states/eV per cell. The calculation puts the total magnetization at 0.001 Bohr magnetons per cell.

***

Short version: entry two, entry three, entry one, most stable first.

***

Entry one
First-principles (PBEsol) data for an optimized crystal structure of LiCaSi2, as listed in the Alexandria database.

The structure belongs to space group Pnma (No. 62); the cell edges are 7.821, 3.783 and 10.535 Å and the angles 90.00°, 90.00° and 90.00°. The distinct sites, in fractional coordinates, are Li at (0.002, 0.250, 0.112), Ca at (0.135, 0.750, 0.364), Si at (0.165, 0.750, 0.675) and Si at (0.232, 0.750, 0.067).

The density of states at the Fermi level is 5.518 states/eV per cell. The calculation puts the total magnetization at 0.000 Bohr magnetons per cell.

***

Entry two
First-principles (PBEsol) data for an optimized crystal structure of LiCaSi2, as listed in the Alexandria database.

The structure belongs to space group Amm2 (No. 38); the cell edges are 3.789, 4.200 and 10.509 Å and the angles 90.00°, 90.00° and 90.00°. The distinct sites, in fractional coordinates, are Li at (0.000, 0.000, 0.000), Ca at (0.500, 0.000, 0.725), Si at (0.000, 0.000, 0.311) and Si at (0.500, 0.000, 0.446).

The density of states at the Fermi level is 2.048 states/eV per cell. The calculation puts the total magnetization at 0.000 Bohr magnetons per cell.

***

Short version: entry one, entry two, most stable first.

***

Entry one
First-principles (PBEsol) data for an optimized crystal structure of SrLiCa2, as listed in the Alexandria database.

The structure belongs to space group P2/m (No. 10); the cell edges are 3.852, 5.798 and 7.328 Å and the angles 90.00°, 104.70° and 90.00°. The distinct sites, in fractional coordinates, are Sr at (0.000, 0.000, 0.000), Li at (0.500, 0.000, 0.500) and Ca at (0.326, 0.500, 0.732).

The density of states at the Fermi level is 3.021 states/eV per cell. The calculation puts the total magnetization at 0.000 Bohr magnetons per cell.

***

Entry two
First-principles (PBEsol) data for an optimized crystal structure of SrLiCa2, as listed in the Alexandria database.

The structure belongs to space group I-4m2 (No. 119); the cell edges are 5.415, 5.415 and 10.719 Å and the angles 90.00°, 90.00° and 90.00°. The distinct sites, in fractional coordinates, are Sr at (0.000, 0.000, 0.000), Li at (0.000, 0.500, 0.750), Ca at (0.000, 0.000, 0.500) and Ca at (0.000, 0.500, 0.250).

The density of states at the Fermi level is 7.579 states/eV per cell. The calculation puts the total magnetization at 0.001 Bohr magnetons per cell.

***

Short version: entry one, entry two, most stable first.

***

Entry one
First-principles (PBEsol) data for an optimized crystal structure of SrLiCa2, as listed in the Alexandria database.

The structure belongs to space group P2/m (No. 10); the cell edges are 5.918, 4.349 and 6.088 Å and the angles 90.00°, 90.07° and 90.00°. The distinct sites, in fractional coordinates, are Sr at (0.000, 0.000, 0.000), Li at (0.500, 0.500, 0.000), Ca at (0.000, 0.500, 0.500) and Ca at (0.500, 0.000, 0.500).

The density of states at the Fermi level is 3.664 states/eV per cell. The calculation puts the total magnetization at 0.001 Bohr magnetons per cell.

***

Entry two
First-principles (PBEsol) data for an optimized crystal structure of SrLiCa2, as listed in the Alexandria database.

The structure belongs to space group Imm2 (No. 44); the cell edges are 4.153, 6.198 and 12.095 Å and the angles 90.00°, 90.00° and 90.00°. The distinct sites, in fractional coordinates, are Sr at (0.000, 0.000, 0.000), Li at (0.000, 0.500, 0.733), Ca at (0.000, 0.000, 0.447) and Ca at (0.000, 0.500, 0.220).

The density of states at the Fermi level is 7.990 states/eV per cell. The calculation puts the total magnetization at 0.001 Bohr magnetons per cell.

***

Entry three
First-principles (PBEsol) data for an optimized crystal structure of SrLiCa2, as listed in the Alexandria database.

The structure belongs to space group Cmmm (No. 65); the cell edges are 7.570, 10.888 and 3.897 Å and the angles 90.00°, 90.00° and 90.00°. The distinct sites, in fractional coordinates, are Sr at (0.000, 0.000, 0.000), Li at (0.000, 0.500, 0.000) and Ca at (0.250, 0.250, 0.500).

The density of states at the Fermi level is 9.140 states/eV per cell. The calculation puts the total magnetization at 0.001 Bohr magnetons per cell.

***

Entry four
First-principles (PBEsol) data for an optimized crystal structure of SrLiCa2, as listed in the Alexandria database.

The structure belongs to space group I4/mmm (No. 139); the cell edges are 5.255, 5.255 and 11.397 Å and the angles 90.00°, 90.00° and 90.00°. The distinct sites, in fractional coordinates, are Sr at (0.000, 0.000, 0.000), Li at (0.000, 0.000, 0.500) and Ca at (0.000, 0.500, 0.250).

The density of states at the Fermi level is 8.164 states/eV per cell. The calculation puts the total magnetization at 0.001 Bohr magnetons per cell.

***

Short version: entry two, entry one, entry four, entry three, most stable first.